Entry 1:
! Er2ScPb, relaxed, DFT PBE; values from VASP
! Density: 9.19 g/cm³
! Energy of formation from the pure elements: -0.07 eV per atom
! Offset from the most stable computed form: 0.204 eV per atom
! Space group: No. 216
! Crystal system: cubic
&SYSTEM
  ibrav = 0, nat = 4, ntyp = 3
/
ATOMIC_SPECIES
Er 167.26 Er.upf
Sc 44.96 Sc.upf
Pb 207.20 Pb.upf
ATOMIC_POSITIONS angstrom
Er 0.4190 -0.7339 5.2432
Er 0.3092 -2.2230 2.3545
Sc 0.6184 -4.4451 4.7107
Pb 0.9276 -6.6687 7.0639
CELL_PARAMETERS angstrom
-2.2351 -4.2481 2.2749
3.0528 -3.9101 1.8996
0.4190 -0.7333 5.2442


Entry 2:
! Er3Sc5Pb2, relaxed, DFT PBE; values from VASP
! Density: 6.88 g/cm³
! Energy of formation from the pure elements: 0.03 eV per atom
! Space group: No. 72
! Crystal system: orthorhombic
&SYSTEM
  ibrav = 0, nat = 20, ntyp = 3
/
ATOMIC_SPECIES
Pb 207.20 Pb.upf
Sc 44.96 Sc.upf
Er 167.26 Er.upf
ATOMIC_POSITIONS angstrom
Pb -6.9015 -0.3110 -2.5745
Sc -5.2473 5.1257 -1.9073
Sc -3.0037 3.6039 -2.9575
Er -9.4662 4.8264 -6.5640
Er -0.5836 1.9624 -4.0904
Sc -7.9257 4.7220 -3.4238
Sc -3.3928 4.9121 -5.6844
Sc -7.8800 7.9557 -3.5840
Er -1.4175 6.7332 0.0225
Sc -5.3656 9.5150 -4.8997
Sc -5.5181 2.0446 -1.6418
Sc -7.4909 6.6475 -0.8571
Sc -5.6364 6.4339 -4.6342
Er -3.9935 9.5248 -1.6807
Pb -3.9822 11.8706 -3.9670
Er -0.1945 0.6541 -1.3635
Er -6.8902 2.0348 -4.8608
Pb -0.7992 8.6673 -2.5479
Sc -2.9580 6.8376 -3.1177
Pb -10.0845 2.8924 -3.9936
CELL_PARAMETERS angstrom
-0.7782 2.6165 -5.4538
-9.7069 -1.0276 -2.5180
-0.3986 9.9707 1.4304


Entry 3:
! Er2Sc2Pb, relaxed, DFT PBE; values from VASP
! Density: 7.76 g/cm³
! Energy of formation from the pure elements: -0.16 eV per atom
! Space group: No. 11
! Crystal system: monoclinic
&SYSTEM
  ibrav = 0, nat = 10, ntyp = 3
/
ATOMIC_SPECIES
Sc 44.96 Sc.upf
Er 167.26 Er.upf
Pb 207.20 Pb.upf
ATOMIC_POSITIONS angstrom
Sc 2.5896 6.4721 -1.9207
Er 0.8632 6.9404 1.0302
Sc 2.5896 4.6350 3.1434
Er 0.8632 8.9142 -3.3789
Er 2.5896 -0.1907 3.8712
Pb 2.5896 4.2041 0.1119
Er 2.5896 -2.1646 8.2803
Sc 0.8632 0.2776 6.8220
Sc 0.8632 2.1147 1.7579
Pb 0.8632 2.5456 4.7895
CELL_PARAMETERS angstrom
3.4527 0.0000 0.0000
0.0000 9.9601 -4.3652
0.0000 -3.2104 9.2665


Entry 4:
! Er3Sc2Pb, relaxed, DFT PBE; values from VASP
! Density: 7.94 g/cm³
! Energy of formation from the pure elements: -0.13 eV per atom
! Space group: No. 65
! Crystal system: orthorhombic
&SYSTEM
  ibrav = 0, nat = 6, ntyp = 3
/
ATOMIC_SPECIES
Pb 207.20 Pb.upf
Sc 44.96 Sc.upf
Er 167.26 Er.upf
ATOMIC_POSITIONS angstrom
Pb 0.0000 0.0000 0.0000
Sc -2.5673 0.2802 4.6281
Sc -2.2028 -2.3334 2.5311
Er -2.2634 -1.9900 -1.1351
Er -5.0919 -1.6813 3.9640
Er -2.8550 0.6484 1.3713
CELL_PARAMETERS angstrom
-3.1767 1.0204 -1.8240
-1.3500 -5.0003 -0.4462
-3.4202 2.9470 7.6054


Entry 5:
! ErScPbSe, relaxed, DFT PBE; values from VASP
! Electronic total energy: -5.530 eV per atom
! Density: 8.37 g/cm³
! Space group: No. 8
! Crystal system: monoclinic
&SYSTEM
  ibrav = 0, nat = 4, ntyp = 4
/
ATOMIC_SPECIES
Sc 44.96 Sc.upf
Pb 207.20 Pb.upf
Se 78.96 Se.upf
Er 167.26 Er.upf
ATOMIC_POSITIONS angstrom
Sc -1.5283 0.8584 7.2856
Pb 0.3481 -0.2405 5.0386
Se -1.5297 3.0389 0.8261
Er 2.2446 0.8518 2.6152
CELL_PARAMETERS angstrom
3.7721 -0.0038 -0.0007
-1.8885 3.2771 0.0016
-1.8855 -1.0862 8.0032


Entry 6:
! ErScZnPb, relaxed, DFT PBE; values from VASP
! Density: 8.67 g/cm³
! Energy of formation from the pure elements: -0.32 eV per atom
! Space group: No. 216
! Crystal system: cubic
&SYSTEM
  ibrav = 0, nat = 4, ntyp = 4
/
ATOMIC_SPECIES
Zn 65.41 Zn.upf
Sc 44.96 Sc.upf
Pb 207.20 Pb.upf
Er 167.26 Er.upf
ATOMIC_POSITIONS angstrom
Zn 0.0000 0.0000 0.0000
Sc 2.5413 1.4672 1.0375
Pb 5.0827 2.9345 2.0750
Er 7.6240 4.4017 3.1125
CELL_PARAMETERS angstrom
5.0827 0.0000 0.0000
2.5413 4.4017 0.0000
2.5413 1.4672 4.1500


Entry 7:
! Er6PbSe5, relaxed, DFT PBE; values from VASP
! Electronic total energy: -5.536 eV per atom
! Density: 9.05 g/cm³
! Space group: No. 12
! Crystal system: monoclinic
&SYSTEM
  ibrav = 0, nat = 12, ntyp = 3
/
ATOMIC_SPECIES
Se 78.96 Se.upf
Er 167.26 Er.upf
Pb 207.20 Pb.upf
ATOMIC_POSITIONS angstrom
Se 4.3935 3.0562 2.2682
Se 5.0132 5.0841 5.7509
Se 3.8918 1.0924 5.8861
Er 6.5387 4.5390 3.3706
Er 3.4846 5.5223 8.1203
Er 2.8578 3.4670 4.6882
Pb 0.0000 0.0000 0.0000
Er 2.2484 1.5734 1.1658
Se 1.2301 4.0192 7.0328
Er 6.0471 2.7095 6.9489
Er 5.4204 0.6541 3.5168
Se 0.6120 1.9978 3.5381
CELL_PARAMETERS angstrom
7.0629 0.1595 1.0661
1.7241 5.9529 3.4703
0.1180 0.0641 7.1007


Entry 8:
! Er2PbSe, relaxed, DFT PBE; values from VASP
! Density: 9.77 g/cm³
! Offset from the most stable computed form: 0.050 eV per atom
! Space group: No. 160
! Crystal system: trigonal
&SYSTEM
  ibrav = 0, nat = 4, ntyp = 3
/
ATOMIC_SPECIES
Er 167.26 Er.upf
Se 78.96 Se.upf
Pb 207.20 Pb.upf
ATOMIC_POSITIONS angstrom
Er 1.9263 1.1122 1.7238
Er 1.9263 1.1122 6.4829
Se 5.7789 3.3365 8.1856
Pb 3.8526 2.2243 4.1200
CELL_PARAMETERS angstrom
3.8526 0.0000 0.0000
1.9263 3.3365 0.0000
1.9263 1.1122 8.2049


Entry 9:
! Er5PbSe4, relaxed, DFT PBE; values from VASP
! Electronic total energy: -5.499 eV per atom
! Density: 9.10 g/cm³
! Space group: No. 87
! Crystal system: tetragonal
&SYSTEM
  ibrav = 0, nat = 10, ntyp = 3
/
ATOMIC_SPECIES
Se 78.96 Se.upf
Er 167.26 Er.upf
Pb 207.20 Pb.upf
ATOMIC_POSITIONS angstrom
Se 2.6386 -0.9255 3.0453
Er 0.1462 0.5936 2.8605
Se 5.2496 -1.9251 6.1019
Er 1.1236 -3.2910 3.6136
Er 5.3124 -1.3682 8.9655
Se 1.1864 -2.7341 6.4774
Er 2.8209 -0.4152 5.9125
Er 3.6151 -4.2441 6.6666
Se 3.7974 -3.7338 9.5339
Pb 0.0004 0.0017 0.0082
CELL_PARAMETERS angstrom
0.2915 1.1839 5.7044
-0.4827 -5.7553 4.2016
6.6266 -0.0900 2.6626


Entry 10:
! ErPbSe2, relaxed, DFT PBE; values from VASP
! Electronic total energy: -4.960 eV per atom
! Density: 7.75 g/cm³
! Space group: No. 166
! Crystal system: trigonal
&SYSTEM
  ibrav = 0, nat = 4, ntyp = 3
/
ATOMIC_SPECIES
Se 78.96 Se.upf
Pb 207.20 Pb.upf
Er 167.26 Er.upf
ATOMIC_POSITIONS angstrom
Se 1.9883 1.1479 2.5146
Pb 0.0000 0.0000 0.0000
Se 5.9649 3.4438 5.8198
Er 3.9766 2.2959 4.1672
CELL_PARAMETERS angstrom
3.9766 0.0000 0.0000
1.9883 3.4438 0.0000
1.9883 1.1479 8.3345


Entry 11:
! ErPbSe, relaxed, DFT PBE; values from VASP
! Electronic total energy: -4.828 eV per atom
! Density: 9.14 g/cm³
! Space group: No. 107
! Crystal system: tetragonal
&SYSTEM
  ibrav = 0, nat = 3, ntyp = 3
/
ATOMIC_SPECIES
Se 78.96 Se.upf
Pb 207.20 Pb.upf
Er 167.26 Er.upf
ATOMIC_POSITIONS angstrom
Se 0.0000 0.0000 3.3579
Pb 0.0000 0.0000 0.1146
Er 1.8745 1.8745 2.3899
CELL_PARAMETERS angstrom
3.7491 0.0000 0.0000
0.0000 3.7491 0.0000
-1.8745 -1.8745 5.8624


Entry 12:
! Er2PbSe, relaxed, DFT PBE; values from VASP
! Density: 9.56 g/cm³
! Offset from the most stable computed form: 0.032 eV per atom
! Space group: No. 166
! Crystal system: trigonal
&SYSTEM
  ibrav = 0, nat = 4, ntyp = 3
/
ATOMIC_SPECIES
Pb 207.20 Pb.upf
Er 167.26 Er.upf
Se 78.96 Se.upf
ATOMIC_POSITIONS angstrom
Pb 3.8653 -1.7613 0.5036
Er 4.6830 0.2913 2.6079
Er 1.0913 -2.1297 1.7202
Se 0.0001 0.0000 0.0000
CELL_PARAMETERS angstrom
-1.9563 1.6842 3.3208
0.4282 -4.1736 -0.2987
7.3024 0.6510 1.3059


Spin magnetization, record by record: 0.87; 1.02; 0.00; 0.00; 0.00; 0.00; 0.00; 0.00; 0.00; 0.00; 0.00; 0.00 μB/f.u.